(1)
Here is RbInAg after structural relaxation from Alexandria. Energies are from PBE-GGA.

```
6
Lattice="5.284 0.000 0.000 0.000 4.989 0.000 -0.405 0.000 8.104" Properties=species:S:1:pos:R:3 pbc="T T T"
Rb 1.138 1.247 2.787
Rb 3.742 3.741 5.317
In 1.338 1.247 6.963
In 3.541 3.741 1.141
Ag 0.899 3.741 0.025
Ag 3.980 1.247 8.079
```

Properties
The energy above the most stable polymorph in this dataset comes out at 0 meV per atom. The calculation puts the theoretical density at 4.8 Mg/m³. For the total moment, the calculation gives 0.000 Bohr magnetons per cell. As for the symmetry: P2_1/m. The formation enthalpy at 0 K comes out at -0.063 eV/atom. The calculation puts the density of states at the Fermi level at 0.427 states/eV/atom.

(2)
Here is RbInAg2 after structural relaxation from Alexandria. Energies are from PBE-GGA.

```
8
Lattice="6.458 0.000 0.000 -2.524 6.482 0.000 -0.854 -3.625 5.952" Properties=species:S:1:pos:R:3 pbc="T T T"
Rb 0.460 1.967 0.567
Rb 2.620 0.890 5.385
In 1.264 -1.467 2.799
In 1.816 4.324 3.153
Ag -0.837 0.374 3.356
Ag -0.335 2.915 4.547
Ag 3.415 -0.058 1.405
Ag 3.917 2.483 2.597
```

Properties
The calculation puts the theoretical density at 5.5 Mg/m³. For the total moment, the calculation gives 0.000 Bohr magnetons per cell. As for the symmetry: P-1. The formation enthalpy at 0 K comes out at 0.034 eV/atom. The calculation puts the density of states at the Fermi level at 0.460 states/eV/atom.

(3)
Here is RbInAg after structural relaxation from Alexandria. Energies are from PBE-GGA.

```
6
Lattice="4.915 0.000 0.000 -2.408 6.331 0.000 -0.034 -0.886 6.825" Properties=species:S:1:pos:R:3 pbc="T T T"
Rb 0.003 1.250 2.450
Rb 2.470 4.195 4.375
In 0.033 5.069 0.894
In 2.440 0.375 5.931
Ag -0.015 1.762 6.140
Ag 2.488 3.682 0.685
```

Properties
The energy above the most stable polymorph in this dataset comes out at 29 meV per atom. The calculation puts the theoretical density at 4.8 Mg/m³. For the total moment, the calculation gives 0.000 Bohr magnetons per cell. As for the symmetry: P-1. The formation enthalpy at 0 K comes out at -0.034 eV/atom. The calculation puts the density of states at the Fermi level at 0.617 states/eV/atom.